Record 1
Compound: Er3Si12Ru4
Source: Alexandria
Functional: GGA-PBEsol
Structure: relaxed

## Properties
Energy = -7.260 eV/atom

a = 18.3362 Å, b = 8.0265 Å, c = 8.0321 Å
α = 90.00°, β = 90.00°, γ = 90.00°
Space group Cmce (No. 64)
One atom of each set of equivalent atoms:
Er 0.0000 0.0000 0.0000
Er 0.2500 0.2470 0.2500
Si 0.0000 0.1680 0.3324
Si 0.1171 0.0048 0.7295
Si 0.1171 0.2295 0.5061
Si 0.2052 0.0000 0.5000
Ru 0.0000 0.1265 0.6268
Ru 0.1697 0.0000 0.0000

Record 2
Compound: BaBiAuSe2
Source: Alexandria
Functional: GGA-PBEsol
Structure: relaxed

## Properties
Energy = -4.187 eV/atom

a = 5.5733 Å, b = 5.5733 Å, c = 5.2314 Å
α = 90.00°, β = 90.00°, γ = 90.00°
Space group P4/mmm (No. 123)
One atom of each set of equivalent atoms:
Ba 0.0000 0.0000 0.0000
Bi 0.5000 0.5000 0.5000
Au 0.5000 0.5000 0.0000
Se 0.0000 0.5000 0.5000

Question: Which of these has the highest energy?
Answer: BaBiAuSe2

What did the second record say?
Compound: BaBiAuSe2
Source: Alexandria
Functional: GGA-PBEsol
Structure: relaxed

## Properties
Energy = -4.187 eV/atom

a = 5.5733 Å, b = 5.5733 Å, c = 5.2314 Å
α = 90.00°, β = 90.00°, γ = 90.00°
Space group P4/mmm (No. 123)
One atom of each set of equivalent atoms:
Ba 0.0000 0.0000 0.0000
Bi 0.5000 0.5000 0.5000
Au 0.5000 0.5000 0.0000
Se 0.0000 0.5000 0.5000

Question: Among the records above, which one has the lowest energy?
Answer: Er3Si12Ru4